Record 1
Here is a geometry-optimized K2Cd3Se4 structure from Alexandria via LeMat-Bulk. Energies are from PBE-GGA.

Calculated values
- uncorrected formation energy (eV/atom) = -0.85

Unit cell a=6.9866 b=10.8306 c=14.4881 alpha=90.00 beta=90.00 gamma=90.00
Positions (direct):
1 Cd 0.7747 0.7500 0.7973
2 Cd 0.8392 0.0945 0.7532
3 Cd 0.1608 0.9055 0.2468
4 Cd 0.8392 0.4055 0.7532
5 Cd 0.1608 0.5945 0.2468
6 Cd 0.2747 0.2500 0.7027
7 Cd 0.3392 0.5945 0.7468
8 Cd 0.2253 0.2500 0.2027
9 Cd 0.7253 0.7500 0.2973
10 Cd 0.3392 0.9055 0.7468
11 Cd 0.6608 0.4055 0.2532
12 Cd 0.6608 0.0945 0.2532
13 Se 0.0706 0.2500 0.8609
14 Se 0.6173 0.5326 0.8667
15 Se 0.3827 0.4674 0.1333
16 Se 0.1173 0.4674 0.6333
17 Se 0.9294 0.7500 0.1391
18 Se 0.6327 0.2500 0.6440
19 Se 0.4294 0.2500 0.3609
20 Se 0.3827 0.0326 0.1333
21 Se 0.5706 0.7500 0.6391
22 Se 0.3673 0.7500 0.3560
23 Se 0.1327 0.7500 0.8560
24 Se 0.6173 0.9674 0.8667
25 Se 0.8673 0.2500 0.1440
26 Se 0.8827 0.9674 0.3667
27 Se 0.8827 0.5326 0.3667
28 Se 0.1173 0.0326 0.6333
29 K 0.5174 0.2500 0.9662
30 K 0.0000 0.0000 0.0000
31 K 0.4826 0.7500 0.0338
32 K 0.0174 0.7500 0.5338
33 K 0.9826 0.2500 0.4662
34 K 0.5000 0.0000 0.5000
35 K 0.5000 0.5000 0.5000
36 K 0.0000 0.5000 0.0000



Record 2
Here is a geometry-optimized Be2CrPt structure from Alexandria via LeMat-Bulk. Energies are from PBE-GGA.

Unit cell a=9.0831 b=5.2212 c=5.2212 alpha=50.62 beta=29.56 gamma=29.56
Last column: magnetic moment on the atom in μB.
Positions (direct):
1 Be 0.7452 0.0000 0.0000  -0.02
2 Be 0.2548 0.0000 0.0000  -0.02
3 Pt 0.5000 0.0000 0.0000  0.05
4 Cr 0.0000 0.0000 0.0000  1.18



Record 3
Here is a geometry-optimized KLaRu2 structure from Alexandria via LeMat-Bulk. Energies are from PBE-GGA.

Calculated values
- ΔE to the lowest computed polymorph (meV per atom) = 188.2

Unit cell a=7.3003 b=7.3003 c=7.3003 alpha=147.02 beta=142.69 gamma=50.63
Positions (direct):
1 Ru 0.1061 0.1061 0.0000
2 Ru 0.1900 0.6900 0.5000
3 K 0.4730 0.4730 0.0000
4 La 0.7309 0.2309 0.5000



Record 4
Here is a geometry-optimized MgTaCl2 structure from Alexandria via LeMat-Bulk. Energies are from PBE-GGA.

Calculated values
- uncorrected formation energy (eV/atom) = -0.27
- ΔE to the lowest computed polymorph (meV per atom) = 294.8

Unit cell a=4.7821 b=3.0897 c=6.6168 alpha=76.57 beta=90.00 gamma=90.00
Positions (direct):
1 Cl 0.0000 0.8378 0.9488
2 Cl 0.5000 0.2476 0.1309
3 Mg 0.0000 0.5146 0.5955
4 Ta 0.5000 0.9000 0.8248



Record 5
Here is a geometry-optimized Ac2CeSb3Rh4 structure from Alexandria via LeMat-Bulk. Energies are from PBE-GGA.

Calculated values
- uncorrected formation energy (eV/atom) = -0.87

Unit cell a=4.6324 b=4.6324 c=11.0081 alpha=90.00 beta=90.00 gamma=90.00
Last column: magnetic moment on the atom in μB.
Positions (direct):
1 Sb 0.0000 0.0000 0.5000  -0.01
2 Sb 0.5000 0.0000 0.8762  0.01
3 Sb 0.0000 0.5000 0.1238  0.01
4 Rh 0.0000 0.0000 0.0000  0.07
5 Rh 0.5000 0.5000 0.0000  0.06
6 Rh 0.5000 0.0000 0.6365  -0.02
7 Rh 0.0000 0.5000 0.3635  -0.02
8 Ac 0.0000 0.5000 0.7736  0.01
9 Ac 0.5000 0.0000 0.2264  0.01
10 Ce 0.5000 0.5000 0.5000  0.34



Record 6
Here is a geometry-optimized CeDyTm structure from Alexandria via LeMat-Bulk. Energies are from PBE-GGA.

Calculated values
- ΔE to the lowest computed polymorph (meV per atom) = 25.3

Unit cell a=5.3260 b=3.4503 c=10.0898 alpha=99.82 beta=90.00 gamma=90.01
Last column: magnetic moment on the atom in μB.
Positions (direct):
1 Ce 0.8470 0.7866 0.9950  0.67
2 Ce 0.3467 0.2035 0.8286  0.67
3 Dy 0.3469 0.0382 0.4960  0.02
4 Dy 0.8469 0.9514 0.3274  0.02
5 Tm 0.3470 0.3757 0.1757  0.05
6 Tm 0.8468 0.6141 0.6479  0.05



Record 7
Here is a geometry-optimized Pu3TlTc structure from Alexandria via LeMat-Bulk. Energies are from PBE-GGA.

Calculated values
- ΔE to the lowest computed polymorph (meV per atom) = 0.0

Unit cell a=3.2269 b=7.8219 c=9.5921 alpha=90.00 beta=90.00 gamma=90.00
Last column: magnetic moment on the atom in μB.
Positions (direct):
1 Pu 0.0906 0.3101 0.6756  5.34
2 Pu 0.0906 0.6550 0.8877  5.17
3 Pu 0.0906 0.5697 0.3877  5.17
4 Pu 0.0906 0.3101 0.0998  5.34
5 Pu 0.0906 0.9146 0.5998  5.34
6 Pu 0.0906 0.9146 0.1756  5.34
7 Tc 0.5906 0.6123 0.1377  -0.96
8 Tc 0.5906 0.6123 0.6377  -0.96
9 Tl 0.5906 0.1835 0.3877  -0.06
10 Tl 0.5906 0.0412 0.8877  -0.06



Record 8
Here is a geometry-optimized TbCeHo2Tm structure from Alexandria via LeMat-Bulk. Energies are from PBE-GGA.

Unit cell a=7.1581 b=7.6568 c=5.8075 alpha=90.00 beta=90.00 gamma=90.00
Last column: magnetic moment on the atom in μB.
Positions (direct):
1 Tb 0.1592 0.5000 0.7500  0.00
2 Tb 0.8408 0.5000 0.2500  0.00
3 Tm 0.6123 0.0000 0.2500  0.12
4 Tm 0.3877 0.0000 0.7500  0.12
5 Ce 0.0000 0.0000 0.0000  1.01
6 Ce 0.0000 0.0000 0.5000  1.01
7 Ho 0.3217 0.2924 0.2500  0.07
8 Ho 0.6783 0.2924 0.7500  0.07
9 Ho 0.6783 0.7076 0.7500  0.07
10 Ho 0.3217 0.7076 0.2500  0.07



Record 9
Here is a geometry-optimized Na2Ho2SbS6 structure from Alexandria via LeMat-Bulk. Energies are from PBE-GGA.

Calculated values
- uncorrected formation energy (eV/atom) = -1.34

Unit cell a=6.8038 b=6.8038 c=7.1256 alpha=98.79 beta=98.79 gamma=119.90
Positions (direct):
1 Ho 0.3333 0.6667 0.5000
2 Ho 0.6667 0.3333 0.5000
3 S 0.9321 0.6043 0.2812
4 S 0.7495 0.7495 0.7186
5 S 0.3957 0.0679 0.7188
6 S 0.6043 0.9321 0.2812
7 S 0.0679 0.3957 0.7188
8 S 0.2505 0.2505 0.2814
9 Na 0.1646 0.8354 0.0000
10 Na 0.8354 0.1646 0.0000
11 Sb 0.0000 0.0000 0.5000



Record 10
Here is a geometry-optimized LaMgCr structure from Alexandria via LeMat-Bulk. Energies are from PBE-GGA.

Calculated values
- ΔE to the lowest computed polymorph (meV per atom) = 208.5

Unit cell a=3.3675 b=3.3675 c=7.7817 alpha=90.00 beta=90.00 gamma=120.00
Last column: magnetic moment on the atom in μB.
Positions (direct):
1 Cr 0.0000 0.0000 0.9862  3.62
2 Mg 0.3333 0.6667 0.6993  -0.01
3 La 0.6667 0.3333 0.3144  -0.09



Record 11
Here is a geometry-optimized Pm2SmLu structure from Alexandria via LeMat-Bulk. Energies are from PBE-GGA.

Calculated values
- ΔE to the lowest computed polymorph (meV per atom) = 0.0

Unit cell a=5.0727 b=5.0885 c=5.0885 alpha=90.00 beta=90.00 gamma=90.00
Positions (direct):
1 Pm 0.0000 0.5000 0.0000
2 Pm 0.0000 0.0000 0.5000
3 Lu 0.5000 0.5000 0.5000
4 Sm 0.5000 0.0000 0.0000



Record 12
Here is a geometry-optimized SrSc4O6 structure from Alexandria via LeMat-Bulk. Energies are from PBE-GGA.

Calculated values
- uncorrected formation energy (eV/atom) = -3.16

Unit cell a=3.1839 b=5.5010 c=16.1977 alpha=90.00 beta=90.00 gamma=106.82
Positions (direct):
1 O 0.6678 0.3357 0.7500
2 O 0.2283 0.4565 0.9149
3 O 0.0341 0.0681 0.3469
4 O 0.7717 0.5435 0.4149
5 O 0.2283 0.4565 0.5851
6 O 0.3322 0.6643 0.2500
7 O 0.0341 0.0681 0.1531
8 O 0.9659 0.9319 0.6531
9 O 0.7717 0.5435 0.0851
10 O 0.9659 0.9319 0.8469
11 O 0.5000 0.0000 0.0000
12 O 0.5000 0.0000 0.5000
13 Sc 0.5992 0.1983 0.6320
14 Sc 0.4008 0.8017 0.1320
15 Sc 0.1368 0.2736 0.0424
16 Sc 0.5992 0.1983 0.8680
17 Sc 0.4008 0.8017 0.3680
18 Sc 0.1368 0.2736 0.4576
19 Sc 0.8632 0.7264 0.5424
20 Sc 0.8632 0.7264 0.9576
21 Sr 0.3456 0.6911 0.7500
22 Sr 0.6544 0.3089 0.2500



no.,raw total energy (eV per atom)
1,-2.947
2,-5.303
3,-5.670
4,-4.555
5,-6.467
6,-4.915
7,-11.074
8,-4.538
9,-5.041
10,-4.841
11,-4.668
12,-8.319